(1)
The following is a DFT calculation (PBE) of an optimized crystal structure of KScGa2Cl6.

abc: 7.4121 7.4128 7.7326
angles: 61.29 61.30 59.90
Fractional positions:
Ga (0.5187, 0.5189, 0.4446)
Ga (0.0153, 0.0160, 0.9525)
Sc (0.3237, 0.3235, 0.0289)
Cl (0.5556, 0.2194, 0.2338)
Cl (0.6736, 0.1375, 0.7780)
Cl (0.4112, 0.6729, 0.7772)
Cl (0.1386, 0.4110, 0.7776)
Cl (0.2193, 0.9910, 0.2347)
Cl (0.9906, 0.5562, 0.2337)
K (0.8151, 0.8153, 0.5542)

Formation energy (no corrections) in meV per atom: -1528.6
Space-group type: P1


(2)
The following is a DFT calculation (PBE) of an optimized crystal structure of K2ScGaCl6.

abc: 7.4960 7.4961 7.6038
angles: 60.47 60.46 59.99
Fractional positions:
Cl (0.1833, 0.0078, 0.2557)
Cl (0.4592, 0.6401, 0.7929)
Cl (0.1078, 0.4591, 0.7929)
Cl (0.6402, 0.1078, 0.7929)
Cl (0.0078, 0.5532, 0.2557)
Cl (0.5532, 0.1833, 0.2557)
K (0.0342, 0.0342, 0.8975)
K (0.5416, 0.5416, 0.3753)
Sc (0.3211, 0.3211, 0.0368)
Ga (0.8133, 0.8133, 0.5600)

Formation energy (no corrections) in meV per atom: -1795.5
Space-group type: R3


(3)
The following is a DFT calculation (PBE) of an optimized crystal structure of KGa2SnCl8.

abc: 7.5648 7.5648 8.7667
angles: 90.00 90.00 120.00
Fractional positions:
Ga (0.6667, 0.3333, 0.1984)
Ga (0.3333, 0.6667, 0.8016)
Cl (0.6667, 0.3333, 0.9475)
Cl (0.1667, 0.8292, 0.7113)
Cl (0.6626, 0.8333, 0.7113)
Cl (0.8333, 0.1708, 0.2887)
Cl (0.1708, 0.3374, 0.7113)
Cl (0.8292, 0.6626, 0.2887)
Cl (0.3333, 0.6667, 0.0525)
Cl (0.3374, 0.1667, 0.2887)
K (0.0000, 0.0000, 0.0000)
Sn (0.0000, 0.0000, 0.5000)

Formation energy (no corrections) in meV per atom: -1133.9
Space-group type: P-3


(4)
The following is a DFT calculation (PBE) of an optimized crystal structure of KTaGa2Cl8.

abc: 6.9184 6.9697 8.8212
angles: 89.90 90.03 91.88
Fractional positions:
Cl (0.3604, 0.2856, 0.5001)
Cl (0.1186, 0.7908, 0.1910)
Cl (0.8814, 0.2092, 0.8090)
Cl (0.2960, 0.1750, 0.0013)
Cl (0.6396, 0.7144, 0.4999)
Cl (0.1209, 0.7923, 0.8096)
Cl (0.7040, 0.8250, 0.9987)
Cl (0.8791, 0.2077, 0.1904)
Ga (0.5005, 0.4997, 0.7217)
Ga (0.4995, 0.5003, 0.2783)
K (0.0000, 0.0000, 0.5000)
Ta (0.0000, 0.0000, 0.0000)

Formation energy (no corrections) in meV per atom: -1236.5
Space-group type: P-1


(5)
The following is a DFT calculation (PBE) of an optimized crystal structure of K2TbGaCl6.

abc: 7.6278 7.6275 7.8691
angles: 61.01 61.00 60.00
Fractional positions:
Cl (0.4497, 0.6601, 0.7814)
Cl (0.1910, 0.9883, 0.2529)
Cl (0.5678, 0.1910, 0.2529)
Cl (0.1088, 0.4497, 0.7815)
Cl (0.6601, 0.1089, 0.7814)
Cl (0.9883, 0.5678, 0.2529)
K (0.0269, 0.0269, 0.9193)
K (0.5353, 0.5353, 0.3942)
Ga (0.8124, 0.8124, 0.5629)
Tb (0.3214, 0.3214, 0.0359)

Formation energy (no corrections) in meV per atom: -1867.3
Space-group type: R3


(6)
The following is a DFT calculation (PBE) of an optimized crystal structure of KThGaCl6.

abc: 7.6785 7.6785 12.3536
angles: 90.00 90.00 120.00
Fractional positions:
Th (0.6667, 0.3333, 0.2500)
Th (0.3333, 0.6667, 0.7500)
Ga (0.0000, 0.0000, 0.0000)
Ga (0.0000, 0.0000, 0.5000)
Cl (0.0468, 0.6747, 0.8731)
Cl (0.6279, 0.9533, 0.8731)
Cl (0.3721, 0.0467, 0.1269)
Cl (0.9532, 0.6279, 0.3731)
Cl (0.3721, 0.3253, 0.3731)
Cl (0.0468, 0.3721, 0.6269)
Cl (0.6747, 0.0467, 0.3731)
Cl (0.6279, 0.6747, 0.6269)
Cl (0.6747, 0.6279, 0.1269)
Cl (0.9532, 0.3253, 0.1269)
Cl (0.3253, 0.3721, 0.8731)
Cl (0.3253, 0.9533, 0.6269)
K (0.6667, 0.3333, 0.7500)
K (0.3333, 0.6667, 0.2500)

Formation energy (no corrections) in meV per atom: -1817.8
Space-group type: P-31c


(7)
The following is a DFT calculation (PBE) of an optimized crystal structure of K2TlGaCl4.

abc: 4.4994 7.7543 7.7926
angles: 70.49 90.00 90.00
Fractional positions:
Cl (0.5000, 0.7533, 0.2383)
Cl (0.0000, 0.7458, 0.7617)
Cl (0.0000, 0.2543, 0.2383)
Cl (0.5000, 0.2467, 0.7617)
K (0.0000, 0.0000, 0.0000)
K (0.5000, 0.0000, 0.5000)
Tl (0.0000, 0.5000, 0.5000)
Ga (0.5000, 0.5000, 0.0000)

Formation energy (no corrections) in meV per atom: -1394.9
Space-group type: P2/m


(8)
The following is a DFT calculation (PBE) of an optimized crystal structure of KTlGa2Cl4.

abc: 4.4415 7.6582 7.6938
angles: 70.47 90.00 90.00
Fractional positions:
K (0.0000, 0.5000, 0.5000)
Cl (0.0000, 0.7656, 0.7397)
Cl (0.0000, 0.2344, 0.2603)
Cl (0.5000, 0.7627, 0.2502)
Cl (0.5000, 0.2373, 0.7498)
Tl (0.5000, 0.5000, 0.0000)
Ga (0.5000, 0.0000, 0.5000)
Ga (0.0000, 0.0000, 0.0000)

Formation energy (no corrections) in meV per atom: -1076.7
Space-group type: P2/m


(9)
The following is a DFT calculation (PBE) of an optimized crystal structure of K2TmGaCl6.

abc: 7.5867 7.5872 7.8007
angles: 60.91 60.91 60.00
Fractional positions:
Cl (0.9945, 0.5629, 0.2526)
Cl (0.6540, 0.1088, 0.7851)
Cl (0.5630, 0.1899, 0.2526)
Cl (0.4521, 0.6540, 0.7853)
Cl (0.1087, 0.4521, 0.7852)
Cl (0.1900, 0.9945, 0.2526)
Tm (0.3216, 0.3216, 0.0352)
K (0.5369, 0.5369, 0.3892)
K (0.0282, 0.0282, 0.9152)
Ga (0.8125, 0.8126, 0.5623)

Formation energy (no corrections) in meV per atom: -1868.2
Space-group type: R3


(10)
The following is a DFT calculation (PBE) of an optimized crystal structure of KTmGa2Cl6.

abc: 7.5048 7.5078 7.8598
angles: 61.44 61.45 59.93
Fractional positions:
Tm (0.3231, 0.3230, 0.0307)
Cl (0.6822, 0.1382, 0.7715)
Cl (0.5665, 0.2168, 0.2374)
Cl (0.2166, 0.9794, 0.2380)
Cl (0.1389, 0.4081, 0.7713)
Cl (0.4082, 0.6816, 0.7708)
Cl (0.9793, 0.5668, 0.2374)
Ga (0.0147, 0.0151, 0.9551)
Ga (0.5182, 0.5184, 0.4451)
K (0.8139, 0.8141, 0.5579)

Formation energy (no corrections) in meV per atom: -1603.5
Space-group type: P1


(11)
The following is a DFT calculation (PBE) of an optimized crystal structure of KZnGaCl4.

abc: 6.9701 7.1444 8.7532
angles: 90.00 106.91 90.00
Fractional positions:
Cl (0.0030, 0.5049, 0.2209)
Cl (0.3756, 0.7500, 0.5533)
Cl (0.9970, 0.4951, 0.7791)
Cl (0.6244, 0.2500, 0.4467)
Cl (0.4467, 0.7500, 0.1372)
Cl (0.0030, 0.9951, 0.2209)
Cl (0.9970, 0.0049, 0.7791)
Cl (0.5533, 0.2500, 0.8628)
Ga (0.7563, 0.7500, 0.9689)
Ga (0.2437, 0.2500, 0.0311)
Zn (0.7700, 0.2500, 0.7137)
Zn (0.2300, 0.7500, 0.2863)
K (0.2093, 0.2500, 0.5353)
K (0.7907, 0.7500, 0.4647)

Formation energy (no corrections) in meV per atom: -1258.1
Space-group type: P2_1/m


(12)
The following is a DFT calculation (PBE) of an optimized crystal structure of KZrGa2Cl.

abc: 5.4279 5.1078 5.4279
angles: 90.00 90.00 90.00
Fractional positions:
K (0.0000, 0.0000, 0.0000)
Ga (0.0000, 0.0000, 0.5000)
Ga (0.5000, 0.0000, 0.0000)
Cl (0.0000, 0.5000, 0.0000)
Zr (0.5000, 0.5000, 0.5000)

Formation energy (no corrections) in meV per atom: 865.4
Space-group type: P4/mmm


(13)
The following is a DFT calculation (PBE) of an optimized crystal structure of KZrGa2Cl8.

abc: 6.6774 6.4029 8.6312
angles: 87.90 88.38 87.68
Fractional positions:
Ga (0.4908, 0.4847, 0.7321)
Ga (0.5092, 0.5153, 0.2679)
Cl (0.1635, 0.7765, 0.7953)
Cl (0.8365, 0.2235, 0.2047)
Cl (0.2934, 0.2246, 0.9948)
Cl (0.8447, 0.2324, 0.7909)
Cl (0.1553, 0.7676, 0.2091)
Cl (0.6416, 0.6969, 0.4984)
Cl (0.3584, 0.3031, 0.5016)
Cl (0.7066, 0.7754, 0.0052)
Zr (0.0000, 0.0000, 0.0000)
K (0.0000, 0.0000, 0.5000)

Formation energy (no corrections) in meV per atom: -1345.0
Space-group type: P-1


(14)
The following is a DFT calculation (PBE) of an optimized crystal structure of La10Ga5Cl4.

abc: 8.0655 8.0655 17.1617
angles: 103.59 103.59 90.00
Fractional positions:
La (0.2559, 0.1045, 0.8604)
La (0.1045, 0.6045, 0.8604)
La (0.1300, 0.9653, 0.5953)
La (0.9653, 0.4653, 0.5953)
La (0.1525, 0.1525, 0.3051)
La (0.3955, 0.2441, 0.1396)
La (0.2441, 0.7441, 0.1396)
La (0.6300, 0.1300, 0.5953)
La (0.4653, 0.6300, 0.5953)
La (0.7441, 0.8955, 0.1396)
La (0.8700, 0.0347, 0.4047)
La (0.6045, 0.7559, 0.8604)
La (0.0347, 0.5347, 0.4047)
La (0.3475, 0.3475, 0.6949)
La (0.8475, 0.8475, 0.6949)
La (0.8955, 0.3955, 0.1396)
La (0.6525, 0.6525, 0.3051)
La (0.5347, 0.3700, 0.4047)
La (0.7559, 0.2559, 0.8604)
La (0.3700, 0.8700, 0.4047)
Cl (0.0565, 0.0565, 0.1130)
Cl (0.1420, 0.3580, 0.0000)
Cl (0.6420, 0.1420, 0.0000)
Cl (0.9435, 0.9435, 0.8870)
Cl (0.3580, 0.8580, 0.0000)
Cl (0.8580, 0.6420, 0.0000)
Cl (0.5565, 0.5565, 0.1130)
Cl (0.4435, 0.4435, 0.8870)
Ga (0.2466, 0.7466, 0.7352)
Ga (0.7500, 0.7500, 0.5000)
Ga (0.7466, 0.4886, 0.7352)
Ga (0.5114, 0.0114, 0.2648)
Ga (0.0114, 0.7534, 0.2648)
Ga (0.9886, 0.2466, 0.7352)
Ga (0.7534, 0.2534, 0.2648)
Ga (0.2534, 0.5114, 0.2648)
Ga (0.4886, 0.9886, 0.7352)
Ga (0.2500, 0.2500, 0.5000)

Formation energy (no corrections) in meV per atom: -1048.7
Space-group type: I4/mcm


(15)
The following is a DFT calculation (PBE) of an optimized crystal structure of LaGaCl2.

abc: 5.2255 5.2255 5.2255
angles: 60.00 60.00 60.00
Fractional positions:
Ga (0.0000, 0.0000, 0.0000)
Cl (0.2500, 0.2500, 0.2500)
Cl (0.7500, 0.7500, 0.7500)
La (0.5000, 0.5000, 0.5000)

Offset from the most stable computed form in meV per atom: 72
Formation energy (no corrections) in meV per atom: -1087.1
Space-group type: Fm-3m


(16)
The following is a DFT calculation (PBE) of an optimized crystal structure of La2GaCl2.

abc: 4.2344 4.2390 10.4979
angles: 90.35 90.00 119.96
Fractional positions:
La (0.8311, 0.6622, 0.3149)
La (0.1689, 0.3378, 0.6851)
Ga (0.5000, 0.0000, 0.5000)
Cl (0.8373, 0.6746, 0.8390)
Cl (0.1627, 0.3254, 0.1610)

Formation energy (no corrections) in meV per atom: -1491.3
Space-group type: C2/m


(17)
The following is a DFT calculation (PBE) of an optimized crystal structure of La7GaCl12.

abc: 9.2759 9.4796 9.4796
angles: 109.90 109.04 109.04
Fractional positions:
Cl (0.8369, 0.3264, 0.2240)
Cl (0.2038, 0.5021, 0.1159)
Cl (0.2983, 0.3863, 0.5021)
Cl (0.7017, 0.6137, 0.4979)
Cl (0.4895, 0.1024, 0.3264)
Cl (0.6129, 0.7760, 0.1024)
Cl (0.5105, 0.8976, 0.6736)
Cl (0.3871, 0.2240, 0.8976)
Cl (0.1631, 0.6736, 0.7760)
Cl (0.7962, 0.4979, 0.8841)
Cl (0.9121, 0.1159, 0.6137)
Cl (0.0879, 0.8841, 0.3863)
La (0.3608, 0.3033, 0.2066)
La (0.9425, 0.0967, 0.3033)
La (0.1542, 0.7934, 0.0967)
La (0.6392, 0.6967, 0.7934)
La (0.0575, 0.9033, 0.6967)
La (0.5000, 0.0000, 0.0000)
La (0.8458, 0.2066, 0.9033)
Ga (0.0000, 0.0000, 0.0000)

Formation energy (no corrections) in meV per atom: -1982.4
Space-group type: R-3


(18)
The following is a DFT calculation (PBE) of an optimized crystal structure of LaGaCl2.

abc: 4.8134 4.8134 10.1651
angles: 76.30 76.30 90.00
Fractional positions:
Cl (0.6408, 0.1250, 0.2500)
Cl (0.3750, 0.3592, 0.7500)
Cl (0.8750, 0.8908, 0.7500)
Cl (0.1092, 0.6250, 0.2500)
La (0.0000, 0.0000, 0.0000)
La (0.7500, 0.2500, 0.5000)
Ga (0.2500, 0.7500, 0.5000)
Ga (0.5000, 0.5000, 0.0000)

Offset from the most stable computed form in meV per atom: 0
Formation energy (no corrections) in meV per atom: -1158.8
Space-group type: I-42d


(19)
The following is a DFT calculation (PBE) of an optimized crystal structure of La4Ga2Cl5.

abc: 4.2053 8.3982 12.3356
angles: 76.21 99.81 90.00
Fractional positions:
Ga (0.4474, 0.5448, 0.8948)
Ga (0.5526, 0.4552, 0.1052)
La (0.9938, 0.2661, 0.9876)
La (0.3381, 0.4710, 0.6763)
La (0.6619, 0.5290, 0.3237)
La (0.0062, 0.7339, 0.0124)
Cl (0.7711, 0.6626, 0.5422)
Cl (0.2289, 0.3374, 0.4578)
Cl (0.5000, 0.0000, 0.0000)
Cl (0.8728, 0.2342, 0.7457)
Cl (0.1272, 0.7658, 0.2543)

Formation energy (no corrections) in meV per atom: -1534.7
Space-group type: C2/m


(20)
The following is a DFT calculation (PBE) of an optimized crystal structure of LaGaCl2.

abc: 9.5047 9.5047 9.5047
angles: 24.89 24.89 24.89
Fractional positions:
Cl (0.1005, 0.1005, 0.1005)
Cl (0.8995, 0.8995, 0.8995)
Ga (0.5000, 0.5000, 0.5000)
La (0.0000, 0.0000, 0.0000)

Offset from the most stable computed form in meV per atom: 206
Formation energy (no corrections) in meV per atom: -952.5
Space-group type: R-3m